This record from the Alexandria database describes a relaxed structure of VGaCu2. The functional is PBE.

The formation enthalpy at 0 K is -0.008 eV per atom.

It has space group P4/mmm (No. 123), with a = 3.662 Å, b = 3.662 Å, c = 3.933 Å, α = 90.00°, β = 90.00° and γ = 90.00°. The inequivalent atoms are V at (0.000, 0.000, 0.000), Ga at (0.500, 0.500, 0.000) and Cu at (0.000, 0.500, 0.500).